# SrCe2NbN4 (PBE, relaxed)
# **VASP energy**: -65.77 eV per formula unit
# **Formation energy (no corrections)**: -25.51 kcal/mol of atoms
# **Theoretical density**: 6.3 g cm⁻³
data_SrCe2NbN4
_space_group_name_H-M_alt 'C m c m'
_space_group_IT_number 63
_space_group_name_Hall '-C 2c 2'
_cell_length_a 3.541
_cell_length_b 12.346
_cell_length_c 12.472
_cell_angle_alpha 90.00
_cell_angle_beta 90.00
_cell_angle_gamma 90.00
loop_
_atom_site_label
_atom_site_fract_x
_atom_site_fract_y
_atom_site_fract_z
Sr1 0.000 0.101 0.250
Ce1 0.000 0.370 0.036
Nb1 0.000 0.165 0.750
N1 0.000 0.000 0.000
N2 0.000 0.261 0.624
N3 0.000 0.424 0.250

# TbY2In2Hg2 (PBE, relaxed)
# **VASP energy**: -25.55 eV per formula unit
# **E_form**: -0.272 eV per atom
# **Theoretical density**: 8.5 g cm⁻³
data_TbY2In2Hg2
_space_group_name_H-M_alt 'R -3 m'
_space_group_IT_number 166
_space_group_name_Hall '-R 3 2"'
_cell_length_a 4.9394
_cell_length_b 4.9394
_cell_length_c 26.7015
_cell_angle_alpha 90.00
_cell_angle_beta 90.00
_cell_angle_gamma 120.00
loop_
_atom_site_label
_atom_site_fract_x
_atom_site_fract_y
_atom_site_fract_z
Tb1 0.0000 0.0000 0.0000
Y1 0.0000 0.0000 0.1307
In1 0.0000 0.0000 0.2692
Hg1 0.0000 0.0000 0.4253

# HfAlTl2H (PBE, relaxed)
# **VASP energy**: -20.16 eV per formula unit
# **Theoretical density**: 11.1 g cm⁻³
data_HfAlTl2H
_space_group_name_H-M_alt 'P 4/m m m'
_space_group_IT_number 123
_space_group_name_Hall '-P 4 2'
_cell_length_a 4.803
_cell_length_b 4.803
_cell_length_c 4.006
_cell_angle_alpha 90.00
_cell_angle_beta 90.00
_cell_angle_gamma 90.00
loop_
_atom_site_label
_atom_site_fract_x
_atom_site_fract_y
_atom_site_fract_z
Hf1 0.000 0.000 0.000
Al1 0.500 0.500 0.000
Tl1 0.000 0.500 0.500
H1 0.500 0.500 0.500

# Tb3Pm4Tm2 (PBE, relaxed)
# **VASP energy**: -41.06 eV per formula unit
# **E_form**: 0.086 eV per atom
# **Theoretical density**: 7.7 g cm⁻³
# **Polymorph energy (0 for the lowest one)**: 0.066 eV per atom
data_Tb3Pm4Tm2
_space_group_name_H-M_alt 'C 1 2/m 1'
_space_group_IT_number 12
_cell_length_a 12.783
_cell_length_b 3.646
_cell_length_c 14.313
_cell_angle_alpha 90.00
_cell_angle_beta 115.73
_cell_angle_gamma 90.00
loop_
_space_group_symop_operation_xyz
'x,y,z'
'-x,-y,-z'
'-x,y,-z'
'x,-y,z'
'x+1/2,y+1/2,z'
'-x+1/2,-y+1/2,-z'
'-x+1/2,y+1/2,-z'
'x+1/2,-y+1/2,z'
loop_
_atom_site_label
_atom_site_fract_x
_atom_site_fract_y
_atom_site_fract_z
Tb1 0.000 0.000 0.000
Tb2 0.008 0.000 0.387
Pm1 0.216 0.500 0.608
Pm2 0.221 0.000 0.872
Tm1 0.050 0.500 0.210

# TlZnTe2N (PBE, relaxed)
# **VASP energy**: -15.34 eV per formula unit
# **Formation energy (no corrections)**: 13.42 kcal/mol of atoms
# **Theoretical density**: 6.6 g cm⁻³
# **Polymorph energy (0 for the lowest one)**: 0.000 eV per atom
data_TlZnTe2N
_space_group_name_H-M_alt 'P 4/m m m'
_space_group_IT_number 123
_space_group_name_Hall '-P 4 2'
_cell_length_a 6.168
_cell_length_b 6.168
_cell_length_c 3.567
_cell_angle_alpha 90.00
_cell_angle_beta 90.00
_cell_angle_gamma 90.00
loop_
_atom_site_label
_atom_site_fract_x
_atom_site_fract_y
_atom_site_fract_z
Tl1 0.000 0.000 0.000
Zn1 0.500 0.500 0.500
Te1 0.000 0.500 0.500
N1 0.500 0.500 0.000

# Nd4Dy2Er3 (PBE, relaxed)
# **VASP energy**: -41.54 eV per formula unit
# **E_form**: 0.047 eV per atom
# **Theoretical density**: 7.9 g cm⁻³
# **Polymorph energy (0 for the lowest one)**: 0.029 eV per atom
data_Nd4Dy2Er3
_space_group_name_H-M_alt 'C c c m'
_space_group_IT_number 66
_space_group_name_Hall '-C 2 2c'
_cell_length_a 9.800
_cell_length_b 16.994
_cell_length_c 7.072
_cell_angle_alpha 90.00
_cell_angle_beta 90.00
_cell_angle_gamma 90.00
loop_
_atom_site_label
_atom_site_fract_x
_atom_site_fract_y
_atom_site_fract_z
Nd1 0.148 0.174 0.000
Nd2 0.165 0.484 0.000
Dy1 0.188 0.160 0.500
Er1 0.000 0.000 0.250
Er2 0.000 0.330 0.250